[1]
Entry from Alexandria via LeMat-Bulk: an optimized crystal structure of VCdSb2I (PBE).

Lattice parameters (Å, degrees): 5.085 5.085 5.921 90.00 90.00 90.00
Fractional coordinates of all 5 atoms:
V: 0.000 0.000 0.000
Cd: 0.500 0.500 0.500
Sb: 0.000 0.500 0.000
Sb: 0.500 0.000 0.000
I: 0.000 0.000 0.500

E_tot	-3.677	eV per atom
space group	P4/mmm, No. 123

=====

[2]
Entry from Alexandria via LeMat-Bulk: an optimized crystal structure of CdSbWI2 (PBE).

Lattice parameters (Å, degrees): 5.626 5.626 5.281 90.00 90.00 90.00
Fractional coordinates of all 5 atoms:
Cd: 0.000 0.000 0.000
Sb: 0.500 0.500 0.000
W: 0.500 0.500 0.500
I: 0.000 0.500 0.500
I: 0.500 0.000 0.500

E_tot	-3.581	eV per atom
space group	P4/mmm, No. 123

=====

[3]
Entry from Alexandria via LeMat-Bulk: an optimized crystal structure of Cd2SbWI (PBE).

Lattice parameters (Å, degrees): 5.625 5.625 5.154 90.00 90.00 90.00
Fractional coordinates of all 5 atoms:
Cd: 0.000 0.500 0.000
Cd: 0.500 0.000 0.000
Sb: 0.000 0.000 0.500
W: 0.000 0.000 0.000
I: 0.500 0.500 0.500

E_tot	-3.392	eV per atom
space group	P4/mmm, No. 123

=====

[4]
Entry from Alexandria via LeMat-Bulk: an optimized crystal structure of CdSbWI2 (PBE).

Lattice parameters (Å, degrees): 5.708 5.708 5.721 90.00 90.00 90.00
Fractional coordinates of all 5 atoms:
Cd: 0.000 0.000 0.000
Sb: 0.000 0.000 0.500
W: 0.500 0.500 0.500
I: 0.000 0.500 0.000
I: 0.500 0.000 0.000

E_tot	-2.703	eV per atom
space group	P4/mmm, No. 123

=====

[5]
Entry from Alexandria via LeMat-Bulk: an optimized crystal structure of YCdSbI2 (PBE).

Lattice parameters (Å, degrees): 5.628 5.628 5.784 90.00 90.00 90.00
Fractional coordinates of all 5 atoms:
Y: 0.000 0.000 0.000
Cd: 0.500 0.500 0.500
Sb: 0.500 0.500 0.000
I: 0.000 0.500 0.500
I: 0.500 0.000 0.500

E_tot	-2.825	eV per atom
space group	P4/mmm, No. 123

=====

[6]
Entry from Alexandria via LeMat-Bulk: an optimized crystal structure of YCdSbI2 (PBE).

Lattice parameters (Å, degrees): 5.925 5.925 6.154 90.00 90.00 90.00
Fractional coordinates of all 5 atoms:
Y: 0.000 0.000 0.000
Cd: 0.500 0.500 0.500
Sb: 0.000 0.000 0.500
I: 0.000 0.500 0.000
I: 0.500 0.000 0.000

E_tot	-3.278	eV per atom
space group	P4/mmm, No. 123

=====

[7]
Entry from Alexandria via LeMat-Bulk: an optimized crystal structure of YCdSbI2 (PBE).

Lattice parameters (Å, degrees): 6.280 6.280 5.825 90.00 90.00 90.00
Fractional coordinates of all 5 atoms:
Y: 0.000 0.000 0.000
Cd: 0.500 0.500 0.000
Sb: 0.000 0.000 0.500
I: 0.000 0.500 0.500
I: 0.500 0.000 0.500

E_tot	-2.816	eV per atom
space group	P4/mmm, No. 123

=====

[8]
Entry from Alexandria via LeMat-Bulk: an optimized crystal structure of ScCd3I (PBE).

Lattice parameters (Å, degrees): 5.769 5.769 5.769 90.00 90.00 90.00
Fractional coordinates of all 5 atoms:
Sc: 0.000 0.000 0.000
Cd: 0.000 0.500 0.500
Cd: 0.500 0.000 0.500
Cd: 0.500 0.500 0.000
I: 0.500 0.500 0.500

E_tot	-1.249	eV per atom
space group	Pm-3m, No. 221

=====

[9]
Entry from Alexandria via LeMat-Bulk: an optimized crystal structure of ScCdI (PBE).

Lattice parameters (Å, degrees): 15.376 3.741 3.741 59.99 90.00 90.00
Fractional coordinates of all 6 atoms:
Sc: 0.142 0.000 0.000
Sc: 0.858 0.000 0.000
Cd: 0.000 0.667 0.667
Cd: 0.500 0.995 0.995
I: 0.273 0.667 0.667
I: 0.727 0.667 0.667

E_tot	-3.336	eV per atom
space group	Amm2, No. 38

=====

[10]
Entry from Alexandria via LeMat-Bulk: an optimized crystal structure of ScCdI2 (PBE).

Lattice parameters (Å, degrees): 5.474 5.474 5.474 60.00 60.00 60.00
Fractional coordinates of all 4 atoms:
Sc: 0.000 0.000 0.000
Cd: 0.500 0.500 0.500
I: 0.250 0.250 0.250
I: 0.750 0.750 0.750

E_tot	-2.856	eV per atom
space group	Fm-3m, No. 225

=====

[11]
Entry from Alexandria via LeMat-Bulk: an optimized crystal structure of ScCd2I6 (PBE).

Lattice parameters (Å, degrees): 9.932 9.932 7.693 97.21 97.21 83.31
Fractional coordinates of all 18 atoms:
Sc: 0.090 0.910 0.750
Sc: 0.910 0.090 0.250
Cd: 0.221 0.407 0.673
Cd: 0.407 0.221 0.173
Cd: 0.593 0.779 0.827
Cd: 0.779 0.593 0.327
I: 0.028 0.190 0.613
I: 0.113 0.649 0.878
I: 0.190 0.028 0.113
I: 0.285 0.469 0.344
I: 0.351 0.887 0.622
I: 0.469 0.285 0.844
I: 0.531 0.715 0.156
I: 0.649 0.113 0.378
I: 0.715 0.531 0.656
I: 0.810 0.972 0.887
I: 0.887 0.351 0.122
I: 0.972 0.810 0.387

E_tot	-2.652	eV per atom
space group	C2/c, No. 15

=====

[12]
Entry from Alexandria via LeMat-Bulk: an optimized crystal structure of Sc3CdI (PBE).

Lattice parameters (Å, degrees): 5.256 5.256 5.256 90.00 90.00 90.00
Fractional coordinates of all 5 atoms:
Sc: 0.000 0.000 0.500
Sc: 0.000 0.500 0.000
Sc: 0.500 0.000 0.000
Cd: 0.500 0.500 0.500
I: 0.000 0.000 0.000

E_tot	-4.001	eV per atom
space group	Pm-3m, No. 221

=====

[13]
Entry from Alexandria via LeMat-Bulk: an optimized crystal structure of Sc3CdI (PBE).

Lattice parameters (Å, degrees): 5.364 5.364 5.364 90.00 90.00 90.00
Fractional coordinates of all 5 atoms:
Sc: 0.000 0.000 0.500
Sc: 0.000 0.500 0.000
Sc: 0.500 0.000 0.000
Cd: 0.000 0.000 0.000
I: 0.500 0.500 0.500

E_tot	-3.955	eV per atom
space group	Pm-3m, No. 221

=====

[14]
Entry from Alexandria via LeMat-Bulk: an optimized crystal structure of ScCdI2 (PBE).

Lattice parameters (Å, degrees): 7.932 7.932 7.932 98.51 98.51 134.74
Fractional coordinates of all 8 atoms:
Sc: 0.000 0.000 0.000
Sc: 0.750 0.250 0.500
Cd: 0.250 0.750 0.500
Cd: 0.500 0.500 0.000
I: 0.375 0.230 0.355
I: 0.770 0.125 0.145
I: 0.875 0.020 0.645
I: 0.980 0.625 0.855

E_tot	-3.123	eV per atom
space group	I-42d, No. 122

=====

Number 1: DOS(E_F) 2.31 states/eV/cell, size of the total moment 0.39 μB/f.u.. Number 2: DOS(E_F) 4.69 states/eV/cell, size of the total moment 0.91 μB/f.u.. Number 3: DOS(E_F) 4.03 states/eV/cell, size of the total moment 1.74 μB/f.u.. Number 4: DOS(E_F) 7.17 states/eV/cell, size of the total moment 3.74 μB/f.u.. Number 5: DOS(E_F) 1.79 states/eV/cell, size of the total moment 0.00 μB/f.u.. Number 6: DOS(E_F) 4.44 states/eV/cell, size of the total moment 0.00 μB/f.u.. Number 7: DOS(E_F) 3.14 states/eV/cell, size of the total moment 0.00 μB/f.u.. Number 8: DOS(E_F) 10.71 states/eV/cell, size of the total moment 1.55 μB/f.u.. Number 9: DOS(E_F) 4.39 states/eV/cell, size of the total moment 0.33 μB/f.u.. Number 10: DOS(E_F) 4.35 states/eV/cell, size of the total moment 1.00 μB/f.u.. Number 11: DOS(E_F) 8.50 states/eV/cell, size of the total moment 0.50 μB/f.u.. Number 12: DOS(E_F) 2.23 states/eV/cell, size of the total moment 0.00 μB/f.u.. Number 13: DOS(E_F) 9.08 states/eV/cell, size of the total moment 0.11 μB/f.u.. Number 14: DOS(E_F) 5.61 states/eV/cell, size of the total moment 0.00 μB/f.u..